[1]
This record from the Alexandria database describes an optimized crystal structure of PmTeAu. The functional is PBE-GGA.

a = 4.671 Å, b = 4.592 Å, c = 4.592 Å
α = 120.00°, β = 90.00°, γ = 90.00°
Positions (direct):
Au 0.010 0.000 0.000
Te 0.704 0.667 0.333
Pm 0.286 0.333 0.667

## Properties
Formation energy (no corrections) in eV/atom: -0.94

***

[2]
This record from the Alexandria database describes an optimized crystal structure of CsReBi3. The functional is PBE-GGA.

a = 6.069 Å, b = 6.069 Å, c = 6.069 Å
α = 90.00°, β = 90.00°, γ = 90.00°
Positions (direct):
Bi 0.500 0.000 0.000
Re 0.500 0.500 0.500
Bi 0.000 0.000 0.500
Bi 0.000 0.500 0.000
Cs 0.000 0.000 0.000

## Properties
Energy of formation in eV per atom: 2.85

***

[3]
This record from the Alexandria database describes an optimized crystal structure of ErScTl2. The functional is PBE-GGA.

a = 3.679 Å, b = 3.679 Å, c = 7.395 Å
α = 90.00°, β = 90.00°, γ = 90.00°
Positions (direct):
Sc 0.500 0.500 0.000
Er 0.500 0.500 0.500
Tl 0.000 0.000 0.762
Tl 0.000 0.000 0.238

## Properties
Energy of formation in eV per atom: -0.28

***

[4]
This record from the Alexandria database describes an optimized crystal structure of SrMg2Sn. The functional is PBE-GGA.

a = 4.952 Å, b = 4.749 Å, c = 4.749 Å
α = 90.00°, β = 90.00°, γ = 90.00°
Positions (direct):
Sr 0.500 0.000 0.000
Mg 0.000 0.000 0.500
Mg 0.000 0.500 0.000
Sn 0.500 0.500 0.500

## Properties
Energy of formation in eV per atom: -0.25

***

[5]
This record from the Alexandria database describes an optimized crystal structure of SrAc5Sn6. The functional is PBE-GGA.

a = 6.151 Å, b = 9.558 Å, c = 10.275 Å
α = 62.28°, β = 72.73°, γ = 50.33°
Positions (direct):
Sr 0.000 0.000 0.000
Sn 0.723 0.443 0.666
Ac 0.500 0.500 0.000
Sn 0.790 0.710 0.000
Sn 0.277 0.891 0.666
Sn 0.723 0.109 0.334
Ac 0.000 0.682 0.637
Ac 0.500 0.851 0.299
Sn 0.277 0.557 0.334
Ac 0.500 0.149 0.701
Sn 0.210 0.290 0.000
Ac 0.000 0.318 0.363

## Properties
Energy of formation in eV per atom: -0.60

***

[6]
This record from the Alexandria database describes an optimized crystal structure of RuClF3. The functional is PBE-GGA.

a = 4.378 Å, b = 4.378 Å, c = 4.378 Å
α = 90.00°, β = 90.00°, γ = 90.00°
Positions (direct):
Ru 0.500 0.500 0.500
F 0.500 0.000 0.000
F 0.000 0.500 0.000
F 0.000 0.000 0.500
Cl 0.000 0.000 0.000

## Properties
Formation energy (no corrections) in eV/atom: 0.40

***

[7]
This record from the Alexandria database describes an optimized crystal structure of LiCaSi3. The functional is PBE-GGA.

a = 4.542 Å, b = 4.542 Å, c = 4.542 Å
α = 90.00°, β = 90.00°, γ = 90.00°
Positions (direct):
Ca 0.500 0.500 0.500
Si 0.000 0.000 0.500
Si 0.500 0.000 0.000
Li 0.000 0.000 0.000
Si 0.000 0.500 0.000

## Properties
Formation energy (no corrections) in eV/atom: 0.31

***

[8]
This record from the Alexandria database describes an optimized crystal structure of Ga2HgBi2. The functional is PBE-GGA.

a = 4.370 Å, b = 4.370 Å, c = 8.427 Å
α = 74.97°, β = 74.97°, γ = 90.00°
Positions (direct):
Bi 0.373 0.373 0.255
Hg 0.000 0.000 0.000
Ga 0.750 0.250 0.500
Ga 0.250 0.750 0.500
Bi 0.627 0.627 0.745

## Properties
Energy of formation in eV per atom: 0.07

***

[9]
This record from the Alexandria database describes an optimized crystal structure of Ca8In2Sn. The functional is PBE-GGA.

a = 5.454 Å, b = 7.716 Å, c = 9.790 Å
α = 110.67°, β = 106.17°, γ = 90.00°
Positions (direct):
In 0.821 0.312 0.641
Ca 0.197 0.288 0.394
Ca 0.977 0.224 0.953
Ca 0.334 0.054 0.668
Ca 0.599 0.447 0.198
In 0.179 0.688 0.359
Ca 0.803 0.712 0.606
Ca 0.023 0.776 0.047
Ca 0.666 0.946 0.332
Sn 0.500 0.000 0.000
Ca 0.401 0.553 0.802

## Properties
Energy of formation in eV per atom: -0.38

***

[10]
This record from the Alexandria database describes an optimized crystal structure of PmSm2Si. The functional is PBE-GGA.

a = 5.282 Å, b = 6.903 Å, c = 6.740 Å
α = 90.00°, β = 90.00°, γ = 112.49°
Positions (direct):
Si 0.171 0.341 0.250
Sm 0.642 0.284 0.020
Sm 0.358 0.716 0.520
Sm 0.358 0.716 0.980
Sm 0.642 0.284 0.480
Pm 0.941 0.882 0.250
Si 0.829 0.659 0.750
Pm 0.059 0.118 0.750

## Properties
Formation energy (no corrections) in eV/atom: -0.27

***

[11]
This record from the Alexandria database describes an optimized crystal structure of NiSbTe2Cl. The functional is PBE-GGA.

a = 4.996 Å, b = 4.996 Å, c = 5.225 Å
α = 90.00°, β = 90.00°, γ = 90.00°
Positions (direct):
Cl 0.500 0.500 0.500
Ni 0.000 0.000 0.000
Te 0.500 0.000 0.000
Sb 0.000 0.000 0.500
Te 0.000 0.500 0.000

## Properties
Formation energy (no corrections) in eV/atom: 0.22

***

[12]
This record from the Alexandria database describes an optimized crystal structure of La3Tc. The functional is PBE-GGA.

a = 5.961 Å, b = 5.961 Å, c = 5.961 Å
α = 90.00°, β = 90.00°, γ = 90.00°
Positions (direct):
La 0.250 0.500 0.000
Tc 0.500 0.500 0.500
La 0.500 0.000 0.250
La 0.000 0.250 0.500
La 0.500 0.000 0.750
La 0.750 0.500 0.000
Tc 0.000 0.000 0.000
La 0.000 0.750 0.500

## Properties
Energy of formation in eV per atom: 0.32

***

[13]
This record from the Alexandria database describes an optimized crystal structure of NiSb2OsI. The functional is PBE-GGA.

a = 4.811 Å, b = 4.811 Å, c = 5.040 Å
α = 90.00°, β = 90.00°, γ = 90.00°
Positions (direct):
Sb 0.000 0.500 0.000
I 0.000 0.000 0.500
Sb 0.500 0.000 0.000
Os 0.500 0.500 0.500
Ni 0.000 0.000 0.000

## Properties
Formation energy (no corrections) in eV/atom: 1.27

***

[14]
This record from the Alexandria database describes an optimized crystal structure of Li2Mg2Ag. The functional is PBE-GGA.

a = 4.670 Å, b = 5.495 Å, c = 8.851 Å
α = 65.41°, β = 74.70°, γ = 64.86°
Positions (direct):
Mg 0.554 0.242 0.650
Li 0.152 0.258 0.438
Mg 0.337 0.281 0.046
Ag 0.249 0.765 0.738
Mg 0.663 0.719 0.954
Li 0.966 0.221 0.848
Mg 0.446 0.758 0.350
Li 0.848 0.742 0.562
Li 0.034 0.779 0.152
Ag 0.751 0.235 0.262

## Properties
Energy of formation in eV per atom: -0.14

***

[15]
This record from the Alexandria database describes an optimized crystal structure of Tl2Sn2Pd. The functional is PBE-GGA.

a = 7.267 Å, b = 7.267 Å, c = 5.065 Å
α = 90.00°, β = 90.00°, γ = 90.00°
Positions (direct):
Tl 0.655 0.155 0.000
Tl 0.155 0.345 0.000
Sn 0.159 0.659 0.500
Sn 0.341 0.159 0.500
Pd 0.000 0.000 0.000
Pd 0.500 0.500 0.000
Sn 0.841 0.341 0.500
Tl 0.845 0.655 0.000
Tl 0.345 0.845 0.000
Sn 0.659 0.841 0.500

## Properties
Energy of formation in eV per atom: 0.14

***

[16]
This record from the Alexandria database describes an optimized crystal structure of LaHfPa2S8. The functional is PBE-GGA.

a = 6.385 Å, b = 6.149 Å, c = 8.171 Å
α = 90.00°, β = 90.00°, γ = 89.09°
Positions (direct):
S 0.681 0.731 0.000
S 0.319 0.269 0.000
Pa 0.500 0.500 0.241
S 0.354 0.282 0.500
S 0.169 0.773 0.223
Pa 0.500 0.500 0.759
S 0.831 0.227 0.777
S 0.646 0.718 0.500
Hf 0.000 0.000 0.000
S 0.169 0.773 0.777
La 0.000 0.000 0.500
S 0.831 0.227 0.223

## Properties
Formation energy (no corrections) in eV/atom: -1.61

***

[17]
This record from the Alexandria database describes an optimized crystal structure of DyTmMg4. The functional is PBE-GGA.

a = 3.420 Å, b = 7.076 Å, c = 8.545 Å
α = 122.88°, β = 78.46°, γ = 76.01°
Positions (direct):
Mg 0.162 0.513 0.163
Dy 0.000 0.000 0.000
Mg 0.838 0.487 0.837
Tm 0.500 0.500 0.500
Mg 0.664 0.010 0.662
Mg 0.336 0.990 0.338

## Properties
Energy of formation in eV per atom: -0.04

***

[18]
This record from the Alexandria database describes an optimized crystal structure of MnAl2Au. The functional is PBE-GGA.

a = 4.287 Å, b = 2.815 Å, c = 5.342 Å
α = 73.75°, β = 90.00°, γ = 90.00°
Positions (direct):
Au 0.000 0.455 0.450
Al 0.000 0.216 0.951
Mn 0.500 0.784 0.821
Al 0.500 0.044 0.278

## Properties
Energy of formation in eV per atom: -0.14

***

[19]
This record from the Alexandria database describes an optimized crystal structure of LaCd9Ga3. The functional is PBE-GGA.

a = 5.793 Å, b = 7.671 Å, c = 7.632 Å
α = 81.98°, β = 67.70°, γ = 68.42°
Positions (direct):
Cd 0.004 0.648 0.353
Cd 0.996 0.352 0.647
Cd 0.287 0.212 0.214
La 0.000 0.000 0.000
Cd 0.502 0.212 0.786
Cd 0.000 0.500 0.000
Cd 0.713 0.788 0.786
Cd 0.356 0.648 0.647
Ga 0.500 0.500 0.000
Cd 0.644 0.352 0.353
Cd 0.498 0.788 0.214
Ga 0.500 0.000 0.500
Ga 0.000 0.000 0.500

## Properties
Energy of formation in eV per atom: -0.10

***

[20]
This record from the Alexandria database describes an optimized crystal structure of PrDy12Th6. The functional is PBE-GGA.

a = 9.291 Å, b = 9.291 Å, c = 9.291 Å
α = 106.84°, β = 106.84°, γ = 106.84°
Positions (direct):
Dy 0.330 0.330 0.089
Dy 0.670 0.911 0.670
Dy 0.888 0.112 0.500
Dy 0.330 0.089 0.330
Dy 0.089 0.330 0.330
Th 0.674 0.674 0.297
Dy 0.112 0.888 0.500
Dy 0.500 0.112 0.888
Dy 0.888 0.500 0.112
Dy 0.670 0.670 0.911
Th 0.326 0.326 0.703
Th 0.703 0.326 0.326
Th 0.297 0.674 0.674
Dy 0.500 0.888 0.112
Pr 0.000 0.000 0.000
Th 0.674 0.297 0.674
Th 0.326 0.703 0.326
Dy 0.112 0.500 0.888
Dy 0.911 0.670 0.670

## Properties
Energy of formation in eV per atom: 0.51